Entry from Alexandria: a relaxed Ni2TeO crystal (PBE+U).

Cell and atoms, written as POSCAR:
```
Ni2TeO
1.0
-2.556 2.556 5.508
2.556 -2.556 5.508
2.556 2.556 -5.508
Ni Te O
4 2 2
Direct
0.002 0.625 0.877
0.375 0.252 0.377
0.748 0.125 0.123
0.875 0.998 0.623
0.250 0.750 0.500
0.500 0.500 0.000
0.000 0.000 0.000
0.750 0.250 0.500
```

**Total moment**: 8.00 Bohr magnetons per cell
**D(E_F)**: 0.0011 states/eV per atom
**Final energy**: -3.534 eV/atom
**Polymorph energy (0 for the lowest one)**: 0.0000 eV per atom